An optimized crystal structure of CuReRu. Source: the Alexandria database, functional PBE-GGA.

Values from the calculation:
DFT total energy in eV/atom: -8.4809
E_form in eV per atom: 0.126
Space-group type: No. 44
Calculated volume in Å³ per cell: 82.00
ΔE to the lowest computed polymorph in meV per atom: 0.0

a = 2.7522 Å, b = 3.7452 Å, c = 7.9558 Å
α = 90.00°, β = 90.00°, γ = 90.00°
Closest atoms and distances in Å follow each position.
Fractional positions:
Cu  0.0000  0.0000  0.0000  5 Ru 2.63-2.68, 5 Re 2.64-2.68, 2 Cu 2.75
Cu  0.5000  0.5000  0.5000  5 Ru 2.63-2.68, 5 Re 2.64-2.68, 2 Cu 2.75
Re  0.0000  0.0000  0.6681  5 Cu 2.64-2.68, 5 Ru 2.66-2.68, 2 Re 2.75
Re  0.5000  0.5000  0.1681  5 Cu 2.64-2.68, 5 Ru 2.66-2.68, 2 Re 2.75
Ru  0.0000  0.0000  0.3311  5 Cu 2.63-2.68, 5 Re 2.66-2.68, 2 Ru 2.75
Ru  0.5000  0.5000  0.8311  5 Cu 2.63-2.68, 5 Re 2.66-2.68, 2 Ru 2.75